[1]
First-principles (PBE) data for crystalline Ce2PaSi at its relaxed geometry, as listed in Alexandria via LeMat-Bulk.

Summary:
excess energy over the best structure of this formula in the dataset: 302 meV/atom

Cell: 3.0841 3.0841 11.1401 Å, 82.04 82.04 60.00°
Fractional positions:
Si1 0.5000 0.5000 0.5000
Pa1 0.0000 0.0000 0.0000
Ce1 0.0913 0.0913 0.7262
Ce2 0.9087 0.9087 0.2738

[2]
First-principles (PBE) data for crystalline Co2HPd at its relaxed geometry, as listed in Alexandria via LeMat-Bulk.

Summary:
total energy: -5.64 eV/atom

Cell: 2.6754 2.6754 6.5601 Å, 78.23 78.23 60.00°
Each line ends with the local moment (μB).
Fractional positions:
Co1 0.0526 0.0526 0.8423  1.62
Co2 0.2810 0.2810 0.1571  1.61
H1 0.6668 0.6668 0.9995  -0.01
Pd1 0.4996 0.4996 0.5011  0.31

[3]
First-principles (PBE) data for crystalline CaNdTm2Sb4 at its relaxed geometry, as listed in Alexandria via LeMat-Bulk.

Summary:
total energy: -5.04 eV/atom

Cell: 4.4069 7.7269 7.6665 Å, 70.87 90.00 90.00°
Fractional positions:
Ca1 0.0000 0.5000 0.5000
Nd1 0.5000 0.5000 0.0000
Tm1 0.0000 0.0000 0.0000
Tm2 0.5000 0.0000 0.5000
Sb1 0.0000 0.7628 0.7455
Sb2 0.0000 0.2372 0.2545
Sb3 0.5000 0.7639 0.2451
Sb4 0.5000 0.2361 0.7549

[4]
First-principles (PBE) data for crystalline SrPdO3 at its relaxed geometry, as listed in Alexandria via LeMat-Bulk.

Summary:
total energy: -5.34 eV/atom

Cell: 3.2664 5.8753 5.8753 Å, 111.30 90.00 90.00°
Fractional positions:
Sr1 0.5000 0.0710 0.9290
O1 0.5000 0.2616 0.3674
O2 0.5000 0.6326 0.7384
O3 0.0000 0.2319 0.7681
Pd1 0.0000 0.4310 0.5690

[5]
First-principles (PBE) data for crystalline KCaTaBr2 at its relaxed geometry, as listed in Alexandria via LeMat-Bulk.

Summary:
total energy: -2.81 eV/atom

Cell: 5.6591 6.5435 5.6591 Å, 90.00 90.00 90.00°
Each line ends with the local moment (μB).
Fractional positions:
Ca1 0.0000 0.5000 0.0000  0.04
K1 0.0000 0.0000 0.0000  0.00
Br1 0.0000 0.0000 0.5000  -0.01
Br2 0.5000 0.0000 0.0000  -0.01
Ta1 0.5000 0.5000 0.5000  2.13

[6]
First-principles (PBE) data for crystalline ScBeRu2 at its relaxed geometry, as listed in Alexandria via LeMat-Bulk.

Summary:
total energy: -7.28 eV/atom

Cell: 3.0694 4.5999 4.0125 Å, 90.00 90.00 90.00°
Fractional positions:
Sc1 0.5000 0.0000 0.5000
Ru1 0.0000 0.0000 0.0000
Ru2 0.5000 0.5000 0.0000
Be1 0.0000 0.5000 0.5000

[7]
First-principles (PBE) data for crystalline MnCdPt at its relaxed geometry, as listed in Alexandria via LeMat-Bulk.

Summary:
total energy: -5.40 eV/atom

Cell: 4.4325 4.4325 4.4325 Å, 60.00 60.00 60.00°
Each line ends with the local moment (μB).
Fractional positions:
Cd1 0.0000 0.0000 0.0000  -0.02
Mn1 0.5000 0.5000 0.5000  4.02
Pt1 0.2500 0.2500 0.2500  0.15

[8]
First-principles (PBE) data for crystalline La2ZrAu2 at its relaxed geometry, as listed in Alexandria via LeMat-Bulk.

Summary:
total energy: -5.46 eV/atom

Cell: 8.2603 8.2603 3.9400 Å, 90.00 90.00 90.00°
Fractional positions:
Au1 0.3690 0.8690 0.0000
Au2 0.8690 0.6310 0.0000
Au3 0.6310 0.1310 0.0000
Au4 0.1310 0.3690 0.0000
Zr1 0.0000 0.0000 0.0000
Zr2 0.5000 0.5000 0.0000
La1 0.1708 0.6708 0.5000
La2 0.6708 0.8292 0.5000
La3 0.8292 0.3292 0.5000
La4 0.3292 0.1708 0.5000